Computed, not measured: a PBEsol-optimized structure of KSr2W at the SCAN level of DFT.

a = 5.7641 Å, b = 5.7641 Å, c = 4.1221 Å
α = 90.00°, β = 90.00°, γ = 90.00°
Space group P4/mmm (No. 123)
Inequivalent atoms, fractional coordinates:
1 K 0.0000 0.0000 0.0000 (multiplicity 1)
2 Sr 0.0000 0.5000 0.5000 (multiplicity 2)
3 W 0.5000 0.5000 0.0000 (multiplicity 1)

Output
* ΔE_f: 5.46 eV/f.u.
* M_tot: 0.717 μB/atom